This record from Alexandria via LeMat-Bulk describes an optimized crystal structure of Ca2TlSi. The functional is GGA-PBEsol.

Values from the calculation:
* formation energy from raw total energies: -0.2939 eV per atom
* density: 5.11 g/cm3

a b c (Å): 3.9357 4.8512 10.6373
angles (deg): 90.00 90.00 90.00
Closest atoms and distances in Å follow each position.
Space group Imm2 (No. 44)
Inequivalent atoms, fractional coordinates:
Ca 0.0000 0.0000 0.0000 x2  4 Tl 3.19, 4 Si 3.34-3.57, 4 Ca 3.37-3.57
Ca 0.0000 0.5000 0.2203 x2  4 Si 3.14, 2 Tl 3.35, 2 Ca 3.37
Tl 0.0000 0.0000 0.4370 x2  2 Si 2.77
Si 0.0000 0.5000 0.7542 x2  2 Tl 2.77